# 1
A relaxed structure of SmMgTl6. Source: Alexandria via LeMat-Bulk, functional PBE-GGA.

a b c (Å): 9.2860 10.0830 4.7802
angles (deg): 90.00 90.00 90.00
Space group Cmmm (No. 65)
One atom of each set of equivalent atoms:
Sm: 0.0000 0.0000 0.0000 x2
Mg: 0.0000 0.5000 0.0000 x2
Tl: 0.0000 0.2390 0.5000 x4
Tl: 0.2316 0.5000 0.5000 x4
Tl: 0.2500 0.2500 0.0000 x4

Properties
ρ   10.40 g/cm³
DOS(E_F)   9.1 states/eV/cell
E   -0.09736 hartree per atom
Energy relative to the elements   -0.086 eV per atom


# 2
A relaxed structure of Sm4MgTl. Source: Alexandria via LeMat-Bulk, functional PBE-GGA.

a b c (Å): 3.4970 5.7403 9.5587
angles (deg): 90.00 90.00 90.00
Space group Pmmm (No. 47)
One atom of each set of equivalent atoms:
Sm: 0.0000 0.0000 0.1932 x2
Sm: 0.5000 0.5000 0.3025 x2
Mg: 0.5000 0.0000 0.5000 x1
Tl: 0.0000 0.5000 0.0000 x1

Properties
Energy relative to the lowest polymorph listed for this composition   0.1825 eV/atom
ρ   7.18 g/cm³
DOS(E_F)   8.0 states/eV/cell
E   -0.13779 hartree per atom
Energy relative to the elements   0.057 eV per atom


# 3
A relaxed structure of SmMgTl2. Source: Alexandria via LeMat-Bulk, functional PBE-GGA.

a b c (Å): 4.8008 4.8008 4.5474
angles (deg): 90.00 90.00 90.00
Space group P4/mmm (No. 123)
One atom of each set of equivalent atoms:
Sm: 0.0000 0.0000 0.0000 x1
Mg: 0.5000 0.5000 0.0000 x1
Tl: 0.0000 0.5000 0.5000 x2

Properties
ρ   9.24 g/cm³
DOS(E_F)   2.0 states/eV/cell
E   -0.11230 hartree per atom
Energy relative to the elements   -0.294 eV per atom


# 4
A relaxed structure of SmMg2Tl3. Source: Alexandria via LeMat-Bulk, functional PBE-GGA.

a b c (Å): 18.0273 4.2256 10.2351
angles (deg): 90.00 123.30 90.00
Space group C2/m (No. 12)
One atom of each set of equivalent atoms:
Sm: 0.0830 0.0000 0.4418 x4
Mg: 0.0950 0.5000 0.7096 x4
Mg: 0.2467 0.5000 0.1243 x4
Tl: 0.0812 0.5000 0.1895 x4
Tl: 0.0962 0.0000 0.9379 x4
Tl: 0.2501 0.0000 0.3645 x4

Properties
Energy relative to the lowest polymorph listed for this composition   0.1059 eV/atom
ρ   8.28 g/cm³
DOS(E_F)   14.8 states/eV/cell
E   -0.09494 hartree per atom
Energy relative to the elements   -0.082 eV per atom